(1)
Pr2InHg2Pd5: relaxed, GGA-PBE.

It has space group P4/mbm (No. 127), with a = 10.392 Å, b = 10.392 Å, c = 3.915 Å, α = 90.00°, β = 90.00° and γ = 90.00°. Symmetry generates all atoms from Pr at (0.170, 0.330, 0.000), In at (0.000, 0.000, 0.000), Hg at (0.129, 0.629, 0.000), Pd at (0.000, 0.500, 0.500) and Pd at (0.041, 0.802, 0.500).

The formation energy comes out at -4.9 eV per formula unit. The calculation puts the density of states at the Fermi level at 0.492 states/eV per atom.


(2)
Zr2AgSb: relaxed, GGA-PBE.

It has space group R-3m (No. 166, hexagonal axes), with a = 3.2442 Å, b = 3.2442 Å, c = 29.1654 Å, α = 90.00°, β = 90.00° and γ = 120.00°. Symmetry generates all atoms from Zr at (0.0000, 0.0000, 0.2486), Ag at (0.0000, 0.0000, 0.5000) and Sb at (0.0000, 0.0000, 0.0000).

The calculation puts the density of states at the Fermi level at 1.474 states/eV per atom. The calculation puts the raw formation energy at -40 meV/atom.


(3)
BaLa2Os: relaxed, GGA-PBE.

It has space group Immm (No. 71), with a = 3.991 Å, b = 6.446 Å, c = 11.125 Å, α = 90.00°, β = 90.00° and γ = 90.00°. Symmetry generates all atoms from Ba at (0.000, 0.000, 0.000), La at (0.000, 0.500, 0.172) and Os at (0.000, 0.000, 0.500).

The formation energy comes out at 0.3 eV per formula unit. The calculation puts the density of states at the Fermi level at 0.986 states/eV per atom.


(4)
NaBeNi3: relaxed, GGA-PBE.

It has space group Pm-3m (No. 221), with a = 4.257 Å, b = 4.257 Å, c = 4.257 Å, α = 90.00°, β = 90.00° and γ = 90.00°. Symmetry generates all atoms from Na at (0.000, 0.000, 0.000), Be at (0.500, 0.500, 0.500) and Ni at (0.000, 0.000, 0.500).

The formation energy comes out at 8.9 eV per formula unit. The calculation puts the density of states at the Fermi level at 1.464 states/eV per atom.